(1)
AlCdCu: optimized geometry, PBE.

a b c (Å): 2.9956 2.9956 6.5294
angles (deg): 90.00 90.00 120.00
Space group P3m1 (No. 156)
Inequivalent atoms, fractional coordinates:
1 Al 0.0000 0.0000 0.0000 [1 per cell]
2 Cd 0.6667 0.3333 0.3740 [1 per cell]
3 Cu 0.3333 0.6667 0.7155 [1 per cell]

Magnetization, μB/f.u.: 0.00
ΔE to the lowest computed polymorph, eV/atom: 0.042
Energy of formation, kJ/mol of formula units: 14
E, eV per atom: -2.871


(2)
AlCdCu2: optimized geometry, PBE.

a b c (Å): 2.8906 2.8906 25.9422
angles (deg): 90.00 90.00 120.00
Space group R3m (No. 160, hexagonal axes)
Inequivalent atoms, fractional coordinates:
1 Al 0.0000 0.0000 0.0000 [3 per cell]
2 Cd 0.0000 0.0000 0.2360 [3 per cell]
3 Cu 0.0000 0.0000 0.4815 [3 per cell]
4 Cu 0.0000 0.0000 0.7412 [3 per cell]

Magnetization, μB/f.u.: 0.00
Energy of formation, kJ/mol of formula units: 37
E, eV per atom: -3.117